Entry 1:
ZnCu2Ir after structural relaxation. Source: Alexandria via LeMat-Bulk, functional PBEsol.

a = 2.857 Å, b = 4.183 Å, c = 4.903 Å
α = 115.25°, β = 106.94°, γ = 90.00°
Element x y z (fractional)
Zn 0.500 0.000 0.000
Ir 0.000 0.500 0.000
Cu 0.757 0.757 0.514
Cu 0.243 0.243 0.486

Results
ΔE_f in kcal/mol of atoms: 0.07

---

Entry 2:
ZnCu2Ir after structural relaxation. Source: Alexandria via LeMat-Bulk, functional PBEsol.

a = 4.139 Å, b = 4.139 Å, c = 4.139 Å
α = 60.00°, β = 60.00°, γ = 60.00°
Element x y z (fractional)
Zn 0.250 0.250 0.250
Ir 0.500 0.500 0.500
Cu 0.000 0.000 0.000
Cu 0.750 0.750 0.750

Results
ΔE_f in kcal/mol of atoms: 0.02

---

Number 1: magnetization 0.0 μB/f.u., density of states at the Fermi level 2.526 states/eV per cell, VASP energy -5.016 eV per atom. Number 2: magnetization 0.0 μB/f.u., density of states at the Fermi level 1.227 states/eV per cell, VASP energy -5.018 eV per atom.